(1)
First-principles (PBE) data for a relaxed structure of UAsRhS, as listed in Alexandria via LeMat-Bulk.

Values from the calculation:
The value obtained for the density of states at the Fermi level is 7.21 states/eV/f.u. For the mass density, the calculation gives 10.2 g/cm³. As for the total energy: -7.72 eV/atom. The value obtained for the spin magnetization is 1.74 μB/f.u. Its space-group type is No. 129.

a = 4.1171 Å, b = 4.1171 Å, c = 8.5958 Å
α = 90.00°, β = 90.00°, γ = 90.00°
Last column: nearest neighbours and their distance in Å.
Fractional positions:
1 U 0.2500 0.2500 0.2063  4 S 2.72
2 U 0.7500 0.7500 0.7937  4 S 2.72
3 As 0.2500 0.2500 0.6730  4 Rh 2.54
4 As 0.7500 0.7500 0.3270  4 Rh 2.54
5 Rh 0.2500 0.7500 0.5000  4 As 2.54
6 Rh 0.7500 0.2500 0.5000  4 As 2.54
7 S 0.2500 0.7500 0.0000  4 U 2.72, 4 S 2.91
8 S 0.7500 0.2500 0.0000  4 U 2.72, 4 S 2.91



(2)
First-principles (PBE) data for a relaxed structure of Ac2BrF, as listed in Alexandria via LeMat-Bulk.

Values from the calculation:
The value obtained for the density of states at the Fermi level is 2.39 states/eV/f.u. For the mass density, the calculation gives 6.5 g/cm³. As for the total energy: -4.75 eV/atom. The value obtained for the spin magnetization is 0.00 μB/f.u. Its space-group type is No. 166.

a = 10.1159 Å, b = 10.1159 Å, c = 10.1159 Å
α = 23.28°, β = 23.28°, γ = 23.28°
Last column: nearest neighbours and their distance in Å.
Fractional positions:
1 Ac 0.0800 0.0800 0.0800  1 F 2.36
2 Ac 0.9200 0.9200 0.9200  1 F 2.36
3 Br 0.5000 0.5000 0.5000  6 Ac 3.48
4 F 0.0000 0.0000 0.0000  2 Ac 2.36



(3)
First-principles (PBE) data for a relaxed structure of V3CrMo6, as listed in Alexandria via LeMat-Bulk.

Values from the calculation:
Its energy of formation from the pure elements is 44.5 meV/atom. The value obtained for the density of states at the Fermi level is 7.42 states/eV/f.u. For the mass density, the calculation gives 8.7 g/cm³. The value obtained for the energy above the most stable polymorph in this dataset is 0 meV per atom. As for the total energy: -10.15 eV/atom. The value obtained for the spin magnetization is 0.00 μB/f.u. Its space-group type is No. 1.

a = 2.6593 Å, b = 6.7848 Å, c = 8.8028 Å
α = 71.22°, β = 89.27°, γ = 82.24°
Last column: nearest neighbours and their distance in Å.
Fractional positions:
1 V 0.0000 0.0000 0.0000  5 Mo 2.64-2.76, 3 V 2.66-2.76
2 V 0.2341 0.3972 0.4092  4 Mo 2.55-2.73, 3 V 2.66-2.85, 1 Cr 2.72
3 V 0.7349 0.5991 0.1032  4 Mo 2.56-2.72, 4 V 2.66-2.85
4 Cr 0.7731 0.5939 0.6086  5 Mo 2.60-2.73, 2 Cr 2.66, 1 V 2.72
5 Mo 0.0240 0.9926 0.5080  6 Mo 2.65-2.81, 1 V 2.73, 1 Cr 2.73
6 Mo 0.1774 0.3990 0.9027  5 Mo 2.66-2.69, 1 Cr 2.66, 2 V 2.67-2.72
7 Mo 0.3850 0.7943 0.8068  2 V 2.63-2.64, 1 Cr 2.66, 5 Mo 2.66-2.76
8 Mo 0.5534 0.2026 0.2036  3 V 2.63-2.76, 5 Mo 2.66-2.81
9 Mo 0.5914 0.2037 0.7026  2 V 2.62-2.70, 1 Cr 2.62, 5 Mo 2.66-2.76
10 Mo 0.8845 0.7865 0.3052  3 V 2.55-2.65, 1 Cr 2.60, 4 Mo 2.65-2.70



(4)
First-principles (PBE) data for a relaxed structure of LiSmMgIn2, as listed in Alexandria via LeMat-Bulk.

Values from the calculation:
Its energy of formation from the pure elements is -234.4 meV/atom. The value obtained for the density of states at the Fermi level is 3.00 states/eV/f.u. For the mass density, the calculation gives 5.7 g/cm³. As for the total energy: -2.98 eV/atom. The value obtained for the spin magnetization is 0.00 μB/f.u. Its space-group type is No. 51.

a = 5.7706 Å, b = 6.4828 Å, c = 6.4518 Å
α = 90.00°, β = 90.00°, γ = 90.00°
Last column: nearest neighbours and their distance in Å.
Fractional positions:
1 Li 0.0000 0.0000 0.0000  2 Mg 2.76, 4 In 2.85, 2 Li 2.89
2 Li 0.5000 0.0000 0.0000  2 Mg 2.76, 4 In 2.85, 2 Li 2.89
3 Sm 0.2500 0.5000 0.2138  8 In 3.28-3.65, 2 Mg 3.39
4 Sm 0.7500 0.5000 0.7862  8 In 3.28-3.65, 2 Mg 3.39
5 Mg 0.2500 0.0000 0.3653  2 Li 2.76, 2 In 2.90
6 Mg 0.7500 0.0000 0.6347  2 Li 2.76, 2 In 2.90
7 In 0.2500 0.2650 0.7280  2 Li 2.85, 1 Mg 2.90, 1 In 3.05
8 In 0.2500 0.7350 0.7280  2 Li 2.85, 1 Mg 2.90, 1 In 3.05
9 In 0.7500 0.2650 0.2720  2 Li 2.85, 1 Mg 2.90, 1 In 3.05
10 In 0.7500 0.7350 0.2720  2 Li 2.85, 1 Mg 2.90, 1 In 3.05



(5)
First-principles (PBE) data for a relaxed structure of TmZrGe2, as listed in Alexandria via LeMat-Bulk.

Values from the calculation:
Its energy of formation from the pure elements is -710.0 meV/atom. The value obtained for the density of states at the Fermi level is 2.14 states/eV/f.u. For the mass density, the calculation gives 7.6 g/cm³. The value obtained for the energy above the most stable polymorph in this dataset is 96 meV per atom. As for the total energy: -6.27 eV/atom. The value obtained for the spin magnetization is 0.00 μB/f.u. Its space-group type is No. 166.

a = 7.1097 Å, b = 7.1097 Å, c = 7.1097 Å
α = 31.84°, β = 31.84°, γ = 31.84°
Last column: nearest neighbours and their distance in Å.
Fractional positions:
1 Tm 0.0000 0.0000 0.0000  6 Ge 2.87
2 Zr 0.5000 0.5000 0.5000  6 Ge 2.76
3 Ge 0.2454 0.2454 0.2454  3 Zr 2.76, 3 Tm 2.87
4 Ge 0.7546 0.7546 0.7546  3 Zr 2.76, 3 Tm 2.87



(6)
First-principles (PBE) data for a relaxed structure of Pm3Nd2Pb2, as listed in Alexandria via LeMat-Bulk.

Values from the calculation:
Its energy of formation from the pure elements is -178.5 meV/atom. The value obtained for the density of states at the Fermi level is 8.48 states/eV/f.u. For the mass density, the calculation gives 8.2 g/cm³. As for the total energy: -4.64 eV/atom. The value obtained for the spin magnetization is 0.49 μB/f.u. Its space-group type is No. 12.

a = 8.8001 Å, b = 8.8001 Å, c = 8.2635 Å
α = 115.54°, β = 115.54°, γ = 23.62°
Last column: nearest neighbours and their distance in Å.
Fractional positions:
1 Pm 0.0000 0.0000 0.0000  4 Pm 3.31-3.60, 4 Pb 3.33, 2 Nd 3.53
2 Pm 0.2119 0.2119 0.1421  5 Pm 3.31-3.63, 3 Pb 3.36-3.46, 3 Nd 3.68-3.69
3 Pm 0.7881 0.7881 0.8579  5 Pm 3.31-3.63, 3 Pb 3.36-3.46, 3 Nd 3.68-3.69
4 Nd 0.1220 0.1220 0.4726  4 Pb 3.36-3.60, 4 Pm 3.53-3.69, 2 Nd 3.60
5 Nd 0.8780 0.8780 0.5274  4 Pb 3.36-3.60, 4 Pm 3.53-3.69, 2 Nd 3.60
6 Pb 0.4226 0.4226 0.2350  5 Pm 3.33-3.46, 4 Nd 3.36-3.60, 2 Pb 3.60
7 Pb 0.5774 0.5774 0.7650  5 Pm 3.33-3.46, 4 Nd 3.36-3.60, 2 Pb 3.60